# Nd3ZnSi6Pd2

A relaxed structure of Nd3ZnSi6Pd2 (PBE, Alexandria via LeMat-Bulk).

```
Nd3ZnSi6Pd2
1.0
-2.2975 4.2469 3.2287
-2.3551 -1.3403 -5.1377
-4.9710 -5.5154 3.7175
Si Zn Nd Pd
6 1 3 2
Direct
0.3878 0.1939 0.7203
0.8061 0.6122 0.7203
0.1939 0.3878 0.2797
0.1939 0.8061 0.2797
0.8061 0.1939 0.7203
0.6122 0.8061 0.2797
0.0000 0.0000 0.5000
0.0000 0.0000 0.0000
0.6667 0.3333 0.3814
0.3333 0.6667 0.6186
0.6667 0.3333 0.9699
0.3333 0.6667 0.0301
```

Results
Symmetry: P-3m1 (164)
E_form (uncorrected): -4.65 eV per formula unit
ρ: 6.02 g/cm³
Calculated total energy: -63.2 eV for the cell shown